A plane-wave DFT calculation with PBE was carried out for a relaxed CsTlSe3 crystal.

As for the total energy: -14.28 eV for the cell shown. The offset from the most stable computed form comes out at 368 meV/atom. The value obtained for the density of states at the Fermi level is 1.74 states/eV/atom. The value obtained for the raw formation energy is -0.12 eV/atom.

The space group is Pm-3m (No. 221) and the conventional cell measures 5.5808, 5.5808 and 5.5808 Å, with angles of 90.00, 90.00 and 90.00 degrees. The asymmetric unit holds Cs at (0.0000, 0.0000, 0.0000), Tl at (0.5000, 0.5000, 0.5000) and Se at (0.0000, 0.5000, 0.5000).

A plane-wave DFT calculation with PBE was carried out for a relaxed SmClO crystal.

As for the total energy: -74.69 eV for the cell shown. The value obtained for the density of states at the Fermi level is 0.00 states/eV/atom. The value obtained for the raw formation energy is -2.38 eV/atom.

The space group is F-43m (No. 216) and the conventional cell measures 6.1534, 6.1534 and 6.1534 Å, with angles of 90.00, 90.00 and 90.00 degrees. The asymmetric unit holds Sm at (0.0000, 0.0000, 0.0000), Cl at (0.2500, 0.2500, 0.2500) and O at (0.2500, 0.2500, 0.7500).

A plane-wave DFT calculation with PBE was carried out for a relaxed PmTmIrPb crystal.

As for the total energy: -24.41 eV for the cell shown. The offset from the most stable computed form comes out at 0 meV/atom. The value obtained for the density of states at the Fermi level is 0.51 states/eV/atom.

The space group is P4mm (No. 99) and the conventional cell measures 3.5177, 3.5177 and 8.0385 Å, with angles of 90.00, 90.00 and 90.00 degrees. The asymmetric unit holds Pm at (0.0000, 0.0000, 0.0000), Tm at (0.0000, 0.0000, 0.5897), Ir at (0.5000, 0.5000, 0.7780) and Pb at (0.5000, 0.5000, 0.3067).

A plane-wave DFT calculation with PBE was carried out for a relaxed LiDyCd2Au4 crystal.

As for the total energy: -76.57 eV for the cell shown. The value obtained for the density of states at the Fermi level is 0.48 states/eV/atom.

The space group is R-3m (No. 166, hexagonal axes) and the conventional cell measures 4.7973, 4.7973 and 23.7705 Å, with angles of 90.00, 90.00 and 120.00 degrees. The asymmetric unit holds Li at (0.0000, 0.0000, 0.0000), Dy at (0.0000, 0.0000, 0.5000), Cd at (0.0000, 0.0000, 0.2519), Au at (0.0000, 0.0000, 0.1166) and Au at (0.0000, 0.0000, 0.3725).

A plane-wave DFT calculation with PBE was carried out for a relaxed NpUTc crystal.

As for the total energy: -33.99 eV for the cell shown. The offset from the most stable computed form comes out at 238 meV/atom. The value obtained for the density of states at the Fermi level is 1.68 states/eV/atom.

The space group is P3m1 (No. 156) and the conventional cell measures 3.3191, 3.3191 and 5.8804 Å, with angles of 90.00, 90.00 and 120.00 degrees. The asymmetric unit holds Np at (0.0000, 0.0000, 0.0000), U at (0.6667, 0.3333, 0.2912) and Tc at (0.3333, 0.6667, 0.6595).

A plane-wave DFT calculation with PBE was carried out for a relaxed Cu2CF crystal.

As for the total energy: -66.08 eV for the cell shown. The offset from the most stable computed form comes out at 510 meV/atom. The value obtained for the density of states at the Fermi level is 0.85 states/eV/atom. The value obtained for the raw formation energy is 0.69 eV/atom.

The space group is Fm-3m (No. 225) and the conventional cell measures 5.3762, 5.3762 and 5.3762 Å, with angles of 90.00, 90.00 and 90.00 degrees. The asymmetric unit holds Cu at (0.2500, 0.2500, 0.2500), C at (0.0000, 0.0000, 0.0000) and F at (0.0000, 0.0000, 0.5000).